Entry 1:
First-principles (SCAN) data for a crystal of Co2CuMo relaxed with PBEsol, as listed in the Alexandria database.

- density of states at the Fermi level (states/eV/cell) = 2.83
- magnetic moment (Bohr magnetons per cell) = 3.41
- E_tot (eV for the cell shown) = -83.66
- E above lowest polymorph (eV per atom) = 0.055

abc: 2.483 4.095 4.678
angles: 90.00 95.63 90.00
Last column: magnetic moment on the atom in μB.
Positions (direct):
1 Mo 0.000 0.500 0.500  -0.04
2 Co 0.735 0.000 0.760  1.74
3 Co 0.265 0.000 0.240  1.74
4 Cu 0.500 0.500 0.000  0.01

---

Entry 2:
First-principles (SCAN) data for a crystal of CoCuMo2 relaxed with PBEsol, as listed in the Alexandria database.

- density of states at the Fermi level (states/eV/cell) = 3.75
- magnetic moment (Bohr magnetons per cell) = 0.00
- E_tot (eV for the cell shown) = -101.04
- E above lowest polymorph (eV per atom) = 0.000

abc: 2.592 4.534 4.671
angles: 98.05 90.00 106.61
Positions (direct):
1 Co 0.502 0.003 0.498
2 Cu 0.244 0.487 0.750
3 Mo 0.995 0.989 0.978
4 Mo 0.760 0.520 0.274

---

Entry 3:
First-principles (SCAN) data for a crystal of Co2CuMo relaxed with PBEsol, as listed in the Alexandria database.

- density of states at the Fermi level (states/eV/cell) = 2.63
- magnetic moment (Bohr magnetons per cell) = 3.30
- E_tot (eV for the cell shown) = -83.59
- E above lowest polymorph (eV per atom) = 0.073

abc: 2.579 2.579 8.506
angles: 81.28 81.28 60.00
Last column: magnetic moment on the atom in μB.
Positions (direct):
1 Mo 0.253 0.253 0.242  -0.14
2 Co 0.005 0.005 0.984  1.71
3 Co 0.747 0.747 0.759  1.84
4 Cu 0.495 0.495 0.515  0.00

---

Entry 4:
First-principles (SCAN) data for a crystal of CoCuMo2 relaxed with PBEsol, as listed in the Alexandria database.

- density of states at the Fermi level (states/eV/cell) = 3.80
- magnetic moment (Bohr magnetons per cell) = 2.20
- E_tot (eV for the cell shown) = -100.81
- E above lowest polymorph (eV per atom) = 0.057

abc: 4.206 4.206 4.206
angles: 60.00 60.00 60.00
Last column: magnetic moment on the atom in μB.
Positions (direct):
1 Co 0.000 0.000 0.000  1.78
2 Cu 0.500 0.500 0.500  0.03
3 Mo 0.250 0.250 0.250  0.17
4 Mo 0.750 0.750 0.750  0.17

---

Entry 5:
First-principles (SCAN) data for a crystal of Co2CuMo relaxed with PBEsol, as listed in the Alexandria database.

- density of states at the Fermi level (states/eV/cell) = 3.41
- magnetic moment (Bohr magnetons per cell) = 0.00
- E_tot (eV for the cell shown) = -83.33
- E above lowest polymorph (eV per atom) = 0.139

abc: 3.373 3.693 3.693
angles: 90.00 90.00 90.00
Positions (direct):
1 Mo 0.500 0.000 0.000
2 Co 0.000 0.000 0.500
3 Co 0.000 0.500 0.000
4 Cu 0.500 0.500 0.500

---

Entry 6:
First-principles (SCAN) data for a crystal of Co2CuMo relaxed with PBEsol, as listed in the Alexandria database.

- density of states at the Fermi level (states/eV/cell) = 4.36
- magnetic moment (Bohr magnetons per cell) = 2.04
- E_tot (eV for the cell shown) = -83.89
- E above lowest polymorph (eV per atom) = 0.000

abc: 4.029 4.029 4.029
angles: 60.00 60.00 60.00
Last column: magnetic moment on the atom in μB.
Positions (direct):
1 Mo 0.500 0.500 0.500  -0.24
2 Co 0.250 0.250 0.250  1.17
3 Co 0.750 0.750 0.750  1.17
4 Cu 0.000 0.000 0.000  -0.04

---

Entry 7:
First-principles (SCAN) data for a crystal of Co2CuMo relaxed with PBEsol, as listed in the Alexandria database.

- density of states at the Fermi level (states/eV/cell) = 3.60
- magnetic moment (Bohr magnetons per cell) = 3.12
- E_tot (eV for the cell shown) = -83.29
- E above lowest polymorph (eV per atom) = 0.150

abc: 2.506 4.664 4.785
angles: 117.73 102.75 94.85
Last column: magnetic moment on the atom in μB.
Positions (direct):
1 Mo 0.000 0.500 0.000  -0.02
2 Co 0.000 0.000 0.500  1.61
3 Co 0.500 0.500 0.500  1.61
4 Cu 0.500 0.000 0.000  -0.01

---

Entry 8:
First-principles (SCAN) data for a crystal of Co2CuSbMo relaxed with PBEsol, as listed in the Alexandria database.

- density of states at the Fermi level (states/eV/cell) = 3.81
- magnetic moment (Bohr magnetons per cell) = 4.06
- E_tot (eV for the cell shown) = -113.29
- formation energy without anion corrections (eV per atom) = 1.73

abc: 4.490 4.490 4.926
angles: 90.00 90.00 90.00
Last column: magnetic moment on the atom in μB.
Positions (direct):
1 Sb 0.000 0.000 0.000  -0.05
2 Mo 0.000 0.000 0.500  0.83
3 Co 0.000 0.500 0.000  1.64
4 Co 0.500 0.000 0.000  1.64
5 Cu 0.500 0.500 0.500  0.06